First-principles (SCAN) data for AlBi3Mo at its PBEsol-relaxed geometry, as listed in Alexandria.

a = 5.3293 Å, b = 5.3293 Å, c = 5.3293 Å
α = 90.00°, β = 90.00°, γ = 90.00°
Closest atoms and distances in Å follow each position.
Space group Pm-3m (No. 221)
Asymmetric unit:
Al 0.0000 0.0000 0.0000  12 Bi 3.77
Bi 0.0000 0.5000 0.5000  2 Mo 2.66
Mo 0.5000 0.5000 0.5000  6 Bi 2.66

Energy relative to the elements = 0.836 eV per atom
Calculated density = 8.2 g/cm3